Entry 1:
The following is a DFT calculation (PBE-GGA) of a relaxed TmCoNi crystal.

Structure (POSCAR):
```
TmCoNi
1.0
6.549 0.000 0.000
0.000 6.549 0.000
0.000 0.000 5.216
Tm Co Ni
4 4 4
Cartesian
1.502 1.502 0.000
1.773 4.776 1.304
4.776 1.773 3.912
5.047 5.047 2.608
0.405 0.405 2.608
2.869 3.680 3.912
3.680 2.869 1.304
6.144 6.144 0.000
1.277 5.272 3.912
1.998 1.998 2.608
4.551 4.551 0.000
5.272 1.277 1.304
```

**Energy relative to the elements**: 0.08 eV/atom
**M_tot**: 5.3 μB per cell

Entry 2:
The following is a DFT calculation (PBE-GGA) of a relaxed Tm4Co2Ni crystal.

Structure (POSCAR):
```
Tm4Co2Ni
1.0
6.808 0.000 0.000
1.012 7.116 0.000
1.915 3.328 6.121
Tm Co Ni
8 4 2
Cartesian
0.000 0.000 0.000
0.973 1.705 3.086
4.114 5.577 4.087
3.343 4.102 0.963
4.376 7.556 0.852
5.414 8.985 3.956
7.655 6.204 4.803
6.768 4.627 1.800
1.180 2.392 0.433
3.173 7.784 5.330
2.284 6.277 2.250
7.487 8.771 5.610
6.269 3.805 4.403
5.532 2.185 1.395
```

**Energy relative to the elements**: -0.25 eV/atom
**M_tot**: 0.0 μB per cell

Entry 3:
The following is a DFT calculation (PBE-GGA) of a relaxed Tm6Co2Ni crystal.

Structure (POSCAR):
```
Tm6Co2Ni
1.0
-4.548 4.619 4.746
4.548 -4.619 4.746
4.548 4.619 -4.746
Tm Co Ni
12 4 2
Cartesian
4.548 -2.907 3.098
2.851 0.000 2.377
6.245 0.000 2.377
2.938 2.470 0.000
6.159 2.470 0.000
0.000 1.712 1.648
4.548 2.907 3.098
-1.610 2.149 4.746
1.610 2.149 4.746
-1.697 4.619 2.369
1.697 4.619 2.369
0.000 7.526 1.648
1.550 0.000 0.000
7.547 0.000 0.000
0.000 0.000 3.642
0.000 0.000 5.850
4.548 0.000 0.000
0.000 4.619 0.000
```

**Energy relative to the elements**: -0.24 eV/atom
**M_tot**: 0.0 μB per cell
**Energy above the most stable polymorph in this dataset**: 0.000 eV/atom

Entry 4:
The following is a DFT calculation (PBE-GGA) of a relaxed Tm12CoNi6 crystal.

Structure (POSCAR):
```
Tm12CoNi6
1.0
5.956 3.439 3.744
-5.956 3.439 3.744
0.000 -6.877 3.744
Tm Co Ni
12 1 6
Cartesian
-3.805 -3.796 6.127
-5.190 1.398 5.105
-1.384 -1.912 4.372
1.384 -5.193 5.105
-0.964 2.154 4.372
-2.347 0.242 6.859
2.347 -0.242 4.372
0.964 -2.154 6.859
-1.384 5.193 6.127
1.384 1.912 6.859
5.190 -1.398 6.127
3.805 3.796 5.105
0.000 0.000 0.000
-2.901 0.422 3.989
1.085 -2.723 3.989
-1.815 -2.301 7.242
1.815 2.301 3.989
-1.085 2.723 7.242
2.901 -0.422 7.242
```

**Energy relative to the elements**: -0.23 eV/atom
**M_tot**: 0.0 μB per cell

Entry 5:
The following is a DFT calculation (PBE-GGA) of a relaxed Tm8CoNi2 crystal.

Structure (POSCAR):
```
Tm8CoNi2
1.0
8.364 -2.461 0.000
8.364 2.461 0.000
-1.831 0.000 6.233
Tm Co Ni
8 1 2
Cartesian
0.050 0.000 1.833
1.871 0.000 5.126
4.590 0.000 3.271
6.732 0.000 0.359
8.165 0.000 5.874
10.307 0.000 2.962
13.025 0.000 1.107
14.847 0.000 4.400
7.448 0.000 3.117
2.737 0.000 1.354
12.159 0.000 4.880
```

**Energy relative to the elements**: -0.21 eV/atom
**M_tot**: 0.0 μB per cell
**Energy above the most stable polymorph in this dataset**: 0.000 eV/atom

Entry 6:
The following is a DFT calculation (PBE-GGA) of a relaxed Tm3Co2Ni7 crystal.

Structure (POSCAR):
```
Tm3Co2Ni7
1.0
2.463 1.422 8.087
-2.463 1.422 8.087
0.000 -2.844 8.087
Tm Co Ni
3 2 7
Cartesian
0.000 0.000 0.000
0.000 0.000 3.363
0.000 0.000 20.896
0.000 0.000 8.081
0.000 0.000 16.179
-1.235 -0.713 10.072
0.000 -1.426 14.187
-1.235 0.713 14.187
0.000 0.000 12.130
1.235 -0.713 10.072
0.000 1.426 10.072
1.235 0.713 14.187
```

**Energy relative to the elements**: -0.39 eV/atom
**M_tot**: 4.0 μB per cell

Entry 7:
The following is a DFT calculation (PBE-GGA) of a relaxed Tm3CoNi8 crystal.

Structure (POSCAR):
```
Tm3CoNi8
1.0
2.466 1.424 8.054
-2.466 1.424 8.054
0.000 -2.847 8.054
Tm Co Ni
3 1 8
Cartesian
0.000 0.000 0.000
0.000 0.000 3.153
0.000 0.000 12.565
0.000 0.000 15.541
-1.237 -0.714 9.696
0.000 -1.409 5.725
-1.220 0.705 5.725
0.000 0.000 7.701
1.220 0.705 5.725
1.237 -0.714 9.696
0.000 1.429 9.696
0.000 0.000 19.799
```

**Energy relative to the elements**: -0.35 eV/atom
**M_tot**: 3.0 μB per cell

Entry 8:
The following is a DFT calculation (PBE-GGA) of a relaxed Tm2Co15Ni2 crystal.

Structure (POSCAR):
```
Tm2Co15Ni2
1.0
4.143 2.392 4.006
-4.143 2.392 4.006
0.000 -4.784 4.006
Tm Co Ni
2 15 2
Cartesian
0.000 0.000 1.906
0.000 0.000 10.112
-2.072 -1.196 4.006
0.000 -2.396 3.833
-2.075 1.198 3.833
-1.194 -2.067 6.009
-2.387 0.000 6.009
-2.075 -1.198 8.184
-2.072 1.196 8.012
1.194 -2.067 6.009
0.000 2.392 4.006
-1.194 2.067 6.009
2.075 1.198 3.833
2.387 0.000 6.009
1.194 2.067 6.009
2.075 -1.198 8.184
0.000 2.396 8.184
0.000 0.000 4.783
0.000 0.000 7.235
```

**Energy relative to the elements**: -0.11 eV/atom
**M_tot**: 23.1 μB per cell

Entry 9:
The following is a DFT calculation (PBE-GGA) of a relaxed Tm8CoNi2 crystal.

Structure (POSCAR):
```
Tm8CoNi2
1.0
4.051 -6.058 0.000
4.051 6.058 0.000
-1.970 0.000 5.545
Tm Co Ni
8 1 2
Cartesian
0.000 0.000 0.000
0.004 1.589 3.269
2.532 2.517 1.004
0.004 -1.589 3.269
2.969 1.578 4.410
2.532 -2.517 1.004
2.969 -1.578 4.410
5.047 0.000 2.020
2.899 0.000 0.006
1.487 3.794 3.816
1.487 -3.794 3.816
```

**Energy relative to the elements**: -0.12 eV/atom
**M_tot**: 0.0 μB per cell
**Energy above the most stable polymorph in this dataset**: 0.085 eV/atom

Entry 10:
The following is a DFT calculation (PBE-GGA) of a relaxed TmCoNi crystal.

Structure (POSCAR):
```
TmCoNi
1.0
3.906 0.000 0.000
-1.953 3.383 0.000
0.000 0.000 3.740
Tm Co Ni
1 1 1
Cartesian
0.000 0.000 0.000
1.953 1.128 1.870
0.000 2.255 1.870
```

**Energy relative to the elements**: -0.28 eV/atom
**M_tot**: 0.2 μB per cell

Entry 11:
The following is a DFT calculation (PBE-GGA) of a relaxed Tm6CoNi5 crystal.

Structure (POSCAR):
```
Tm6CoNi5
1.0
4.716 0.000 0.000
0.000 6.583 0.000
-2.304 0.000 7.055
Tm Co Ni
6 1 5
Cartesian
0.000 1.631 0.000
0.000 4.951 0.000
0.036 1.636 4.722
0.036 4.947 4.722
2.375 1.636 2.334
2.375 4.947 2.334
2.358 0.000 0.000
0.017 0.000 2.340
0.018 3.291 2.360
2.358 3.291 0.000
2.394 3.291 4.696
2.394 0.000 4.715
```

**Energy relative to the elements**: -0.42 eV/atom
**M_tot**: 0.0 μB per cell

Entry 12:
The following is a DFT calculation (PBE-GGA) of a relaxed Tm2Co3Ni crystal.

Structure (POSCAR):
```
Tm2Co3Ni
1.0
2.477 1.430 4.217
-2.477 1.430 4.217
0.000 -2.860 4.217
Tm Co Ni
2 3 1
Cartesian
0.000 0.000 1.547
0.000 0.000 11.103
-1.238 -0.715 4.217
-1.238 0.715 8.433
0.000 1.430 4.217
0.000 0.000 6.325
```

**Energy relative to the elements**: -0.32 eV/atom
**M_tot**: 2.9 μB per cell

Entry 13:
The following is a DFT calculation (PBE-GGA) of a relaxed Tm6Co2Ni crystal.

Structure (POSCAR):
```
Tm6Co2Ni
1.0
6.323 0.000 0.000
0.000 7.048 0.000
-5.921 0.000 9.384
Tm Co Ni
12 4 2
Cartesian
-0.892 0.363 2.289
-3.853 3.161 6.981
1.028 4.758 0.736
-1.933 5.814 5.428
2.076 1.196 0.619
-0.884 2.328 5.311
1.286 4.720 4.073
-1.674 5.852 8.765
2.335 1.234 3.956
-0.625 2.290 8.648
4.255 3.887 2.403
1.294 6.685 7.096
-2.590 0.830 7.222
0.371 2.694 2.530
0.031 4.354 6.854
2.992 6.218 2.162
0.201 0.000 4.692
3.162 3.524 0.000
```

**Energy relative to the elements**: -0.20 eV/atom
**M_tot**: 0.0 μB per cell
**Energy above the most stable polymorph in this dataset**: 0.037 eV/atom

Entry 14:
The following is a DFT calculation (PBE-GGA) of a relaxed Tm6CoNi2 crystal.

Structure (POSCAR):
```
Tm6CoNi2
1.0
6.309 0.000 0.000
0.000 7.025 0.000
-6.138 0.000 9.546
Tm Co Ni
12 2 4
Cartesian
-0.910 0.293 2.376
-3.979 3.219 7.149
1.027 4.757 0.681
-2.042 5.781 5.454
2.067 1.248 0.653
-1.002 2.264 5.426
1.173 4.761 4.120
-1.896 5.777 8.893
2.213 1.244 4.092
-0.856 2.268 8.864
4.150 3.806 2.397
1.081 6.732 7.170
0.085 0.000 4.773
3.155 3.513 0.000
-2.694 0.824 7.211
0.375 2.688 2.438
-0.204 4.337 7.107
2.865 6.201 2.334
```

**Energy relative to the elements**: -0.26 eV/atom
**M_tot**: 0.0 μB per cell
**Energy above the most stable polymorph in this dataset**: 0.000 eV/atom

Entry 15:
The following is a DFT calculation (PBE-GGA) of a relaxed Tm6CoNi2 crystal.

Structure (POSCAR):
```
Tm6CoNi2
1.0
6.373 -2.107 0.000
6.373 2.107 0.000
-5.411 0.000 7.870
Tm Co Ni
6 1 2
Cartesian
-0.930 0.000 1.482
-1.209 0.000 6.814
1.980 0.000 3.793
5.355 0.000 4.078
8.543 0.000 1.056
8.265 0.000 6.388
-2.706 0.000 3.935
3.785 0.000 1.805
3.550 0.000 6.065
```

**Energy relative to the elements**: -0.24 eV/atom
**M_tot**: 0.0 μB per cell
**Energy above the most stable polymorph in this dataset**: 0.020 eV/atom

Entry 16:
The following is a DFT calculation (PBE-GGA) of a relaxed TmCoNi crystal.

Structure (POSCAR):
```
TmCoNi
1.0
-2.451 2.520 3.622
2.451 -2.520 3.622
2.451 2.520 -3.622
Tm Co Ni
2 2 2
Cartesian
0.000 1.260 0.885
2.451 1.260 2.737
1.226 1.260 -1.811
1.226 -1.260 1.811
2.451 0.000 0.000
0.000 0.000 3.622
```

**Energy relative to the elements**: -0.36 eV/atom
**M_tot**: 1.9 μB per cell

Entry 17:
The following is a DFT calculation (PBE-GGA) of a relaxed YTmCoNi crystal.

Structure (POSCAR):
```
YTmCoNi
1.0
0.000 3.337 3.337
3.337 0.000 3.337
3.337 3.337 0.000
Y Tm Co Ni
1 1 1 1
Cartesian
0.000 0.000 0.000
3.337 3.337 3.337
5.006 5.006 5.006
1.669 1.669 1.669
```

**Energy relative to the elements**: -0.28 eV/atom
**M_tot**: 0.1 μB per cell
**Energy above the most stable polymorph in this dataset**: 0.047 eV/atom

Entry 18:
The following is a DFT calculation (PBE-GGA) of a relaxed YTmCoNi crystal.

Structure (POSCAR):
```
YTmCoNi
1.0
3.931 0.000 0.000
0.000 1.920 5.185
0.000 -1.920 5.185
Y Tm Co Ni
1 1 1 1
Cartesian
0.000 0.000 0.000
1.966 0.000 7.415
0.000 0.000 2.952
1.966 0.000 4.357
```

**Energy relative to the elements**: -0.33 eV/atom
**M_tot**: 0.0 μB per cell
**Energy above the most stable polymorph in this dataset**: 0.000 eV/atom

Entry 19:
The following is a DFT calculation (PBE-GGA) of a relaxed TmZnCoNi crystal.

Structure (POSCAR):
```
TmZnCoNi
1.0
0.000 3.095 3.095
3.095 0.000 3.095
3.095 3.095 0.000
Tm Zn Co Ni
1 1 1 1
Cartesian
0.000 0.000 0.000
3.095 3.095 3.095
1.547 1.547 1.547
4.642 4.642 4.642
```

**Energy relative to the elements**: -0.21 eV/atom
**M_tot**: 0.0 μB per cell

Entry 20:
The following is a DFT calculation (PBE-GGA) of a relaxed Tm2Zn2CoNi5 crystal.

Structure (POSCAR):
```
Tm2Zn2CoNi5
1.0
9.084 0.000 0.000
0.000 9.084 0.000
0.000 0.000 3.526
Tm Zn Co Ni
4 4 2 10
Cartesian
1.613 2.929 0.000
2.929 7.471 0.000
6.156 1.613 0.000
7.471 6.156 0.000
1.100 5.642 0.000
3.442 1.100 0.000
5.642 7.984 0.000
7.984 3.442 0.000
0.000 0.000 0.000
4.542 4.542 0.000
0.000 4.542 1.763
0.508 7.316 1.763
1.768 0.508 1.763
2.774 5.050 1.763
4.034 2.774 1.763
4.542 0.000 1.763
5.050 6.310 1.763
6.310 4.034 1.763
7.316 8.576 1.763
8.576 1.768 1.763
```

**Energy relative to the elements**: -0.18 eV/atom
**M_tot**: 4.0 μB per cell